Material: K3Sc3GeTe8
Method: DFT, PBE-GGA
State: optimized geometry

The structure in CIF format:
```
data_K3Sc3GeTe8
_chemical_formula_sum 'K3 Sc3 Ge1 Te8'
_space_group_name_H-M_alt 'P 1'
_space_group_IT_number 1
_cell_length_a 8.394
_cell_length_b 8.413
_cell_length_c 9.763
_cell_angle_alpha 115.70
_cell_angle_beta 90.00
_cell_angle_gamma 119.92
loop_
_space_group_symop_operation_xyz
'x,y,z'
loop_
_atom_site_label
_atom_site_type_symbol
_atom_site_fract_x
_atom_site_fract_y
_atom_site_fract_z
K1 K 0.000 0.000 0.000
K2 K 0.000 0.500 0.000
K3 K 0.500 0.500 0.000
Sc1 Sc 0.500 0.000 0.500
Sc2 Sc 0.500 0.500 0.500
Sc3 Sc 0.000 0.500 0.500
Ge1 Ge 0.000 0.000 0.500
Te1 Te 0.267 0.533 0.300
Te2 Te 0.733 0.467 0.700
Te3 Te 0.769 0.537 0.307
Te4 Te 0.231 0.463 0.693
Te5 Te 0.769 0.038 0.306
Te6 Te 0.231 0.962 0.694
Te7 Te 0.269 0.038 0.306
Te8 Te 0.731 0.962 0.694
```

Output
Its density of states at the Fermi level is 0.328 states/eV per atom. The value obtained for the total energy is -4.44 eV/atom. Its formation energy from raw total energies is -970 meV/atom.